Record 1
# KHoBi2

KHoBi2 after structural relaxation (PBE, the Alexandria database). Values from VASP.

Geometry as Quantum ESPRESSO input:
```
&SYSTEM
  ibrav = 0, nat = 4, ntyp = 3
/
ATOMIC_SPECIES
K 39.10 K.upf
Bi 208.98 Bi.upf
Ho 164.93 Ho.upf
CELL_PARAMETERS angstrom
4.497 0.000 0.000
2.248 3.894 0.000
2.248 1.298 8.690
ATOMIC_POSITIONS crystal
K 0.500 0.500 0.500
Bi 0.734 0.734 0.797
Bi 0.266 0.266 0.203
Ho 0.000 0.000 0.000
```

Results
- polymorph energy (0 for the lowest one) (eV per formula unit) = 0.60
- ΔE_f (meV/atom) = -363.1
- SG = No. 166

***

Record 2
# BaNa2Ca

BaNa2Ca after structural relaxation (PBE, the Alexandria database). Values from VASP.

Geometry as Quantum ESPRESSO input:
```
&SYSTEM
  ibrav = 0, nat = 4, ntyp = 3
/
ATOMIC_SPECIES
Ca 40.08 Ca.upf
Na 22.99 Na.upf
Ba 137.33 Ba.upf
CELL_PARAMETERS angstrom
-1.368 3.804 0.391
-1.288 2.040 -3.267
-12.767 -2.521 0.934
ATOMIC_POSITIONS crystal
Ca 0.666 0.666 0.001
Na 0.079 0.079 0.762
Na 0.254 0.254 0.238
Ba 0.500 0.500 0.499
```

Results
- polymorph energy (0 for the lowest one) (eV per formula unit) = 0.26
- ΔE_f (meV/atom) = 97.8
- SG = No. 160

***

Record 3
# La2YErTe6

La2YErTe6 after structural relaxation (PBE, the Alexandria database). Values from VASP.

Geometry as Quantum ESPRESSO input:
```
&SYSTEM
  ibrav = 0, nat = 10, ntyp = 4
/
ATOMIC_SPECIES
Te 127.60 Te.upf
La 138.91 La.upf
Y 88.91 Y.upf
Er 167.26 Er.upf
CELL_PARAMETERS angstrom
7.938 0.000 0.000
3.969 6.874 0.000
3.968 2.291 7.021
ATOMIC_POSITIONS crystal
Te 0.441 0.703 0.760
Te 0.594 0.205 0.258
Te 0.943 0.594 0.258
Te 0.205 0.943 0.258
Te 0.096 0.441 0.760
Te 0.703 0.096 0.760
La 0.518 0.518 0.447
La 0.017 0.017 0.948
Y 0.822 0.822 0.533
Er 0.323 0.322 0.033
```

Results
- formation energy (no corrections) (eV per atom) = -1.44
- SG = No. 146

***

Record 4
# InSb2OsBr

InSb2OsBr after structural relaxation (PBE, the Alexandria database). Values from VASP.

Geometry as Quantum ESPRESSO input:
```
&SYSTEM
  ibrav = 0, nat = 5, ntyp = 4
/
ATOMIC_SPECIES
Sb 121.76 Sb.upf
In 114.82 In.upf
Os 190.23 Os.upf
Br 79.90 Br.upf
CELL_PARAMETERS angstrom
-3.113 0.068 4.149
2.315 -4.277 1.807
3.527 3.007 2.598
ATOMIC_POSITIONS crystal
Sb 0.500 0.000 0.000
Sb 0.000 0.500 0.000
In 0.000 0.000 0.500
Os 0.000 0.000 0.000
Br 0.500 0.500 0.500
```

Results
- formation energy (no corrections) (eV per atom) = 0.17
- SG = No. 123

***

Record 5
# BaTa4Se8

BaTa4Se8 after structural relaxation (PBE, the Alexandria database). Values from VASP.

Geometry as Quantum ESPRESSO input:
```
&SYSTEM
  ibrav = 0, nat = 13, ntyp = 3
/
ATOMIC_SPECIES
Ta 180.95 Ta.upf
Se 78.96 Se.upf
Ba 137.33 Ba.upf
CELL_PARAMETERS angstrom
3.487 0.000 0.755
1.582 8.723 1.124
-0.259 -0.010 9.622
ATOMIC_POSITIONS crystal
Ta 0.359 0.840 0.443
Ta 0.673 0.163 0.491
Ta 0.834 0.498 0.833
Ta 0.197 0.505 0.100
Se 0.207 0.704 0.882
Se 0.169 0.008 0.653
Se 0.142 0.345 0.372
Se 0.824 0.300 0.052
Se 0.477 0.328 0.718
Se 0.890 0.659 0.561
Se 0.862 0.995 0.280
Se 0.555 0.676 0.215
Ba 0.516 0.002 0.967
```

Results
- polymorph energy (0 for the lowest one) (eV per formula unit) = 0.00
- formation energy (no corrections) (eV per atom) = -0.85
- SG = No. 12

***

Record 6
# LiYPCl2

LiYPCl2 after structural relaxation (PBE, the Alexandria database). Values from VASP.

Geometry as Quantum ESPRESSO input:
```
&SYSTEM
  ibrav = 0, nat = 5, ntyp = 4
/
ATOMIC_SPECIES
Y 88.91 Y.upf
Li 6.94 Li.upf
P 30.97 P.upf
Cl 35.45 Cl.upf
CELL_PARAMETERS angstrom
5.280 0.000 0.000
0.000 5.280 0.000
0.000 0.000 5.489
ATOMIC_POSITIONS crystal
Y 0.000 0.000 0.000
Li 0.500 0.500 0.500
P 0.000 0.000 0.500
Cl 0.500 0.000 0.000
Cl 0.000 0.500 0.000
```

Results
- polymorph energy (0 for the lowest one) (eV per formula unit) = 0.00
- formation energy (no corrections) (eV per atom) = -1.04
- SG = No. 123

***

Number 1: DFT total energy -3.72 eV per atom, calculated density 6.8 Mg/m³. Number 2: DFT total energy -1.54 eV per atom, calculated density 2.0 Mg/m³. Number 3: DFT total energy -5.41 eV per atom, calculated density 5.6 Mg/m³. Number 4: DFT total energy -4.61 eV per atom, calculated density 7.3 Mg/m³. Number 5: DFT total energy -6.79 eV per atom, calculated density 8.4 Mg/m³. Number 6: DFT total energy -4.54 eV per atom, calculated density 2.1 Mg/m³.